# 1
## Ce2YOs (GGA-PBE)

Data for an optimized crystal structure of Ce2YOs.

It has space group Cmcm (No. 63), with a = 3.828 Å, b = 11.391 Å, c = 9.553 Å, α = 90.00°, β = 90.00° and γ = 90.00°. Symmetry generates all atoms from Ce at (0.000, 0.142, 0.061), Y at (0.000, 0.425, 0.250) and Os at (0.000, 0.289, 0.750).

# 2
## CeY2Os (GGA-PBE)

Data for an optimized crystal structure of CeY2Os.

It has space group P4/mmm (No. 123), with a = 3.414 Å, b = 3.414 Å, c = 9.227 Å, α = 90.00°, β = 90.00° and γ = 90.00°. Symmetry generates all atoms from Ce at (0.000, 0.000, 0.000), Y at (0.500, 0.500, 0.320) and Os at (0.000, 0.000, 0.500).

# 3
## Ce3YOs (GGA-PBE)

Data for an optimized crystal structure of Ce3YOs.

It has space group Pmn2_1 (No. 31), with a = 7.260 Å, b = 6.300 Å, c = 6.310 Å, α = 90.00°, β = 90.00° and γ = 90.00°. Symmetry generates all atoms from Ce at (0.000, 0.092, 0.000), Ce at (0.238, 0.715, 0.000), Y at (0.000, 0.800, 0.493) and Os at (0.000, 0.448, 0.767).

# 4
## CeY2Os (GGA-PBE)

Data for an optimized crystal structure of CeY2Os.

It has space group Cmcm (No. 63), with a = 3.848 Å, b = 12.184 Å, c = 9.398 Å, α = 90.00°, β = 90.00° and γ = 90.00°. Symmetry generates all atoms from Ce at (0.000, 0.083, 0.250), Y at (0.000, 0.355, 0.069) and Os at (0.000, 0.266, 0.750).

# 5
## CeYZnOs (GGA-PBE)

Data for an optimized crystal structure of CeYZnOs.

It has space group F-43m (No. 216), with a = 7.009 Å, b = 7.009 Å, c = 7.009 Å, α = 90.00°, β = 90.00° and γ = 90.00°. Symmetry generates all atoms from Ce at (0.000, 0.000, 0.000), Y at (0.000, 0.000, 0.500), Zn at (0.250, 0.250, 0.750) and Os at (0.250, 0.250, 0.250).

# 6
## Ce2Zn6Os (GGA-PBE)

Data for an optimized crystal structure of Ce2Zn6Os.

It has space group C2/m (No. 12), with a = 8.740 Å, b = 5.782 Å, c = 6.436 Å, α = 90.00°, β = 96.63° and γ = 90.00°. Symmetry generates all atoms from Ce at (0.164, 0.000, 0.406), Zn at (0.108, 0.230, 0.854), Zn at (0.139, 0.500, 0.168) and Os at (0.000, 0.500, 0.500).

# 7
## Ce8Zn2Os (GGA-PBE)

Data for an optimized crystal structure of Ce8Zn2Os.

It has space group C2/m (No. 12), with a = 16.826 Å, b = 5.223 Å, c = 6.767 Å, α = 90.00°, β = 110.34° and γ = 90.00°. Symmetry generates all atoms from Ce at (0.004, 0.000, 0.292), Ce at (0.099, 0.500, 0.923), Ce at (0.165, 0.500, 0.444), Ce at (0.228, 0.000, 0.791), Zn at (0.165, 0.000, 0.172) and Os at (0.000, 0.500, 0.500).

# 8
## Ce3ZnOs (GGA-PBE)

Data for an optimized crystal structure of Ce3ZnOs.

It has space group Fmmm (No. 69), with a = 6.325 Å, b = 9.251 Å, c = 15.977 Å, α = 90.00°, β = 90.00° and γ = 90.00°. Symmetry generates all atoms from Ce at (0.000, 0.000, 0.200), Ce at (0.000, 0.204, 0.408), Zn at (0.193, 0.000, 0.000) and Os at (0.250, 0.250, 0.250).

One value per record, in order, for DFT total energy: -120.54, -30.25, -70.62, -123.35, -103.18, -64.96, -123.83, -250.30 eV per cell.
One value per record, in order, for total moment: 0.0, 1.4, 0.1, 0.7, 0.0, 0.4, 3.2, 1.4 μB/f.u..